Record 1
# Th2ZnCoCu | the Alexandria database | PBE-GGA | optimized geometry
# symmetry = P2_1/m, No. 11
# ΔH_f (0 K) = -0.225 eV per atom
# magnetization = 0.00 μB/f.u.
# calculated total energy = -0.209 hartree per atom
data_Th2ZnCoCu
_chemical_formula_sum 'Th4 Zn2 Co2 Cu2'
_symmetry_space_group_name_H-M 'P 1'
_symmetry_Int_Tables_number 1
_cell_length_a 4.2702
_cell_length_b 7.0027
_cell_length_c 7.3123
_cell_angle_alpha 106.11
_cell_angle_beta 90.00
_cell_angle_gamma 90.00
loop_
_symmetry_equiv_pos_as_xyz
'x,y,z'
loop_
_atom_site_label
_atom_site_type_symbol
_atom_site_fract_x
_atom_site_fract_y
_atom_site_fract_z
Th1 Th 0.7500 0.7185 0.0584
Th2 Th 0.2500 0.1343 0.3531
Th3 Th 0.7500 0.8657 0.6469
Th4 Th 0.2500 0.2815 0.9416
Co1 Co 0.7500 0.1064 0.0826
Co2 Co 0.2500 0.8936 0.9174
Cu1 Cu 0.7500 0.4395 0.3169
Cu2 Cu 0.2500 0.5605 0.6831
Zn1 Zn 0.7500 0.3619 0.6497
Zn2 Zn 0.2500 0.6381 0.3503

***

Record 2
# ThZnCoCu | the Alexandria database | PBE-GGA | optimized geometry
# symmetry = F-43m, No. 216
# ΔH_f (0 K) = -0.043 eV per atom
# magnetization = 0.25 μB/f.u.
# calculated total energy = -0.184 hartree per atom
data_ThZnCoCu
_chemical_formula_sum 'Th1 Zn1 Co1 Cu1'
_symmetry_space_group_name_H-M 'P 1'
_symmetry_Int_Tables_number 1
_cell_length_a 4.6397
_cell_length_b 4.6397
_cell_length_c 4.6397
_cell_angle_alpha 60.00
_cell_angle_beta 60.00
_cell_angle_gamma 60.00
loop_
_symmetry_equiv_pos_as_xyz
'x,y,z'
loop_
_atom_site_label
_atom_site_type_symbol
_atom_site_fract_x
_atom_site_fract_y
_atom_site_fract_z
Co1 Co 0.7500 0.7500 0.7500
Cu1 Cu 0.2500 0.2500 0.2500
Zn1 Zn 0.5000 0.5000 0.5000
Th1 Th 0.0000 0.0000 0.0000

***

Record 3
# Ti4CoCu | the Alexandria database | PBE-GGA | optimized geometry
# distance to the lowest polymorph of the same formula = 0.0000 eV per atom
# symmetry = P4/mmm, No. 123
# ΔH_f (0 K) = -0.202 eV per atom
# magnetization = 0.24 μB/f.u.
# calculated total energy = -0.269 hartree per atom
data_Ti4CoCu
_chemical_formula_sum 'Ti4 Co1 Cu1'
_symmetry_space_group_name_H-M 'P 1'
_symmetry_Int_Tables_number 1
_cell_length_a 2.9677
_cell_length_b 2.9677
_cell_length_c 10.1672
_cell_angle_alpha 90.00
_cell_angle_beta 90.00
_cell_angle_gamma 90.00
loop_
_symmetry_equiv_pos_as_xyz
'x,y,z'
loop_
_atom_site_label
_atom_site_type_symbol
_atom_site_fract_x
_atom_site_fract_y
_atom_site_fract_z
Cu1 Cu 0.0000 0.0000 0.0000
Ti1 Ti 0.0000 0.0000 0.6481
Ti2 Ti 0.0000 0.0000 0.3519
Ti3 Ti 0.5000 0.5000 0.1696
Ti4 Ti 0.5000 0.5000 0.8304
Co1 Co 0.5000 0.5000 0.5000

***

Record 4
# TiCo4Cu | the Alexandria database | PBE-GGA | optimized geometry
# symmetry = F-43m, No. 216
# ΔH_f (0 K) = -0.098 eV per atom
# magnetization = 4.62 μB/f.u.
# calculated total energy = -0.251 hartree per atom
data_TiCo4Cu
_chemical_formula_sum 'Ti1 Co4 Cu1'
_symmetry_space_group_name_H-M 'P 1'
_symmetry_Int_Tables_number 1
_cell_length_a 4.6807
_cell_length_b 4.6807
_cell_length_c 4.6807
_cell_angle_alpha 60.00
_cell_angle_beta 60.00
_cell_angle_gamma 60.00
loop_
_symmetry_equiv_pos_as_xyz
'x,y,z'
loop_
_atom_site_label
_atom_site_type_symbol
_atom_site_fract_x
_atom_site_fract_y
_atom_site_fract_z
Cu1 Cu 0.0000 0.0000 0.0000
Co1 Co 0.1241 0.6253 0.6253
Co2 Co 0.6253 0.1241 0.6253
Co3 Co 0.6253 0.6253 0.1241
Co4 Co 0.6253 0.6253 0.6253
Ti1 Ti 0.2500 0.2500 0.2500

***

Record 5
# Ti2CoCu2 | the Alexandria database | PBE-GGA | optimized geometry
# distance to the lowest polymorph of the same formula = 0.2315 eV per atom
# symmetry = P4/mbm, No. 127
# ΔH_f (0 K) = 0.041 eV per atom
# magnetization = 0.16 μB/f.u.
# calculated total energy = -0.227 hartree per atom
data_Ti2CoCu2
_chemical_formula_sum 'Ti4 Co2 Cu4'
_symmetry_space_group_name_H-M 'P 1'
_symmetry_Int_Tables_number 1
_cell_length_a 6.6056
_cell_length_b 6.6056
_cell_length_c 3.1910
_cell_angle_alpha 90.00
_cell_angle_beta 90.00
_cell_angle_gamma 90.00
loop_
_symmetry_equiv_pos_as_xyz
'x,y,z'
loop_
_atom_site_label
_atom_site_type_symbol
_atom_site_fract_x
_atom_site_fract_y
_atom_site_fract_z
Ti1 Ti 0.8215 0.3215 0.5000
Ti2 Ti 0.6785 0.8215 0.5000
Ti3 Ti 0.1785 0.6785 0.5000
Ti4 Ti 0.3215 0.1785 0.5000
Cu1 Cu 0.3736 0.8736 0.0000
Cu2 Cu 0.6264 0.1264 0.0000
Cu3 Cu 0.1264 0.3736 0.0000
Cu4 Cu 0.8736 0.6264 0.0000
Co1 Co 0.0000 0.0000 0.0000
Co2 Co 0.5000 0.5000 0.0000

***

Record 6
# TiCo2Cu | the Alexandria database | PBE-GGA | optimized geometry
# symmetry = I-42d, No. 122
# ΔH_f (0 K) = 0.300 eV per atom
# magnetization = 1.45 μB/f.u.
# calculated total energy = -0.230 hartree per atom
data_TiCo2Cu
_chemical_formula_sum 'Ti2 Co4 Cu2'
_symmetry_space_group_name_H-M 'P 1'
_symmetry_Int_Tables_number 1
_cell_length_a 3.5930
_cell_length_b 3.5930
_cell_length_c 8.6647
_cell_angle_alpha 78.03
_cell_angle_beta 78.03
_cell_angle_gamma 90.00
loop_
_symmetry_equiv_pos_as_xyz
'x,y,z'
loop_
_atom_site_label
_atom_site_type_symbol
_atom_site_fract_x
_atom_site_fract_y
_atom_site_fract_z
Co1 Co 0.3750 0.3375 0.7500
Co2 Co 0.6625 0.1250 0.2500
Co3 Co 0.8750 0.9125 0.7500
Co4 Co 0.0875 0.6250 0.2500
Cu1 Cu 0.7500 0.2500 0.5000
Cu2 Cu 0.0000 0.0000 0.0000
Ti1 Ti 0.2500 0.7500 0.5000
Ti2 Ti 0.5000 0.5000 0.0000

***

Record 7
# TiCo2Cu2 | the Alexandria database | PBE-GGA | optimized geometry
# distance to the lowest polymorph of the same formula = 0.0000 eV per atom
# symmetry = P4/mbm, No. 127
# ΔH_f (0 K) = 0.117 eV per atom
# magnetization = 1.39 μB/f.u.
# calculated total energy = -0.218 hartree per atom
data_TiCo2Cu2
_chemical_formula_sum 'Ti2 Co4 Cu4'
_symmetry_space_group_name_H-M 'P 1'
_symmetry_Int_Tables_number 1
_cell_length_a 6.7595
_cell_length_b 6.7595
_cell_length_c 2.7267
_cell_angle_alpha 90.00
_cell_angle_beta 90.00
_cell_angle_gamma 90.00
loop_
_symmetry_equiv_pos_as_xyz
'x,y,z'
loop_
_atom_site_label
_atom_site_type_symbol
_atom_site_fract_x
_atom_site_fract_y
_atom_site_fract_z
Cu1 Cu 0.1706 0.6706 0.5000
Cu2 Cu 0.3294 0.1706 0.5000
Cu3 Cu 0.6706 0.8294 0.5000
Cu4 Cu 0.8294 0.3294 0.5000
Co1 Co 0.1250 0.3750 0.0000
Co2 Co 0.6250 0.1250 0.0000
Co3 Co 0.8750 0.6250 0.0000
Co4 Co 0.3750 0.8750 0.0000
Ti1 Ti 0.0000 0.0000 0.0000
Ti2 Ti 0.5000 0.5000 0.0000

***

Record 8
# Ti2CoCu2 | the Alexandria database | PBE-GGA | optimized geometry
# distance to the lowest polymorph of the same formula = 0.0000 eV per atom
# symmetry = I4/mmm, No. 139
# ΔH_f (0 K) = -0.191 eV per atom
# magnetization = 0.51 μB/f.u.
# calculated total energy = -0.235 hartree per atom
data_Ti2CoCu2
_chemical_formula_sum 'Ti2 Co1 Cu2'
_symmetry_space_group_name_H-M 'P 1'
_symmetry_Int_Tables_number 1
_cell_length_a 3.0875
_cell_length_b 3.0875
_cell_length_c 7.3549
_cell_angle_alpha 102.12
_cell_angle_beta 102.12
_cell_angle_gamma 90.00
loop_
_symmetry_equiv_pos_as_xyz
'x,y,z'
loop_
_atom_site_label
_atom_site_type_symbol
_atom_site_fract_x
_atom_site_fract_y
_atom_site_fract_z
Ti1 Ti 0.6000 0.6000 0.2000
Ti2 Ti 0.4000 0.4000 0.8000
Cu1 Cu 0.7950 0.7950 0.5900
Cu2 Cu 0.2050 0.2050 0.4100
Co1 Co 0.0000 0.0000 0.0000

***

Record 9
# Ti4Co5Cu | the Alexandria database | PBE-GGA | optimized geometry
# symmetry = P4/mmm, No. 123
# ΔH_f (0 K) = -0.311 eV per atom
# magnetization = 0.10 μB/f.u.
# calculated total energy = -0.273 hartree per atom
data_Ti4Co5Cu
_chemical_formula_sum 'Ti4 Co5 Cu1'
_symmetry_space_group_name_H-M 'P 1'
_symmetry_Int_Tables_number 1
_cell_length_a 3.0091
_cell_length_b 3.0091
_cell_length_c 14.0319
_cell_angle_alpha 90.00
_cell_angle_beta 90.00
_cell_angle_gamma 90.00
loop_
_symmetry_equiv_pos_as_xyz
'x,y,z'
loop_
_atom_site_label
_atom_site_type_symbol
_atom_site_fract_x
_atom_site_fract_y
_atom_site_fract_z
Ti1 Ti 0.0000 0.0000 0.6039
Ti2 Ti 0.0000 0.0000 0.1865
Ti3 Ti 0.0000 0.0000 0.8135
Ti4 Ti 0.0000 0.0000 0.3961
Co1 Co 0.5000 0.5000 0.0984
Co2 Co 0.5000 0.5000 0.5000
Co3 Co 0.5000 0.5000 0.7035
Co4 Co 0.5000 0.5000 0.2965
Co5 Co 0.5000 0.5000 0.9016
Cu1 Cu 0.0000 0.0000 0.0000

***

Record 10
# Ti2Co2Cu | the Alexandria database | PBE-GGA | optimized geometry
# distance to the lowest polymorph of the same formula = 0.0000 eV per atom
# symmetry = P4/mbm, No. 127
# ΔH_f (0 K) = -0.247 eV per atom
# magnetization = 0.00 μB/f.u.
# calculated total energy = -0.260 hartree per atom
data_Ti2Co2Cu
_chemical_formula_sum 'Ti4 Co4 Cu2'
_symmetry_space_group_name_H-M 'P 1'
_symmetry_Int_Tables_number 1
_cell_length_a 6.7865
_cell_length_b 6.7865
_cell_length_c 2.8867
_cell_angle_alpha 90.00
_cell_angle_beta 90.00
_cell_angle_gamma 90.00
loop_
_symmetry_equiv_pos_as_xyz
'x,y,z'
loop_
_atom_site_label
_atom_site_type_symbol
_atom_site_fract_x
_atom_site_fract_y
_atom_site_fract_z
Ti1 Ti 0.1639 0.6639 0.5000
Ti2 Ti 0.6639 0.8361 0.5000
Ti3 Ti 0.3361 0.1639 0.5000
Ti4 Ti 0.8361 0.3361 0.5000
Cu1 Cu 0.5000 0.5000 0.0000
Cu2 Cu 0.0000 0.0000 0.0000
Co1 Co 0.1362 0.3638 0.0000
Co2 Co 0.6362 0.1362 0.0000
Co3 Co 0.8638 0.6362 0.0000
Co4 Co 0.3638 0.8638 0.0000

***

Record 11
# TiCo2Cu2 | the Alexandria database | PBE-GGA | optimized geometry
# distance to the lowest polymorph of the same formula = 0.0927 eV per atom
# symmetry = I4/mmm, No. 139
# ΔH_f (0 K) = 0.210 eV per atom
# magnetization = 2.85 μB/f.u.
# calculated total energy = -0.215 hartree per atom
data_TiCo2Cu2
_chemical_formula_sum 'Ti1 Co2 Cu2'
_symmetry_space_group_name_H-M 'P 1'
_symmetry_Int_Tables_number 1
_cell_length_a 3.3771
_cell_length_b 3.3771
_cell_length_c 6.2872
_cell_angle_alpha 74.42
_cell_angle_beta 74.42
_cell_angle_gamma 90.00
loop_
_symmetry_equiv_pos_as_xyz
'x,y,z'
loop_
_atom_site_label
_atom_site_type_symbol
_atom_site_fract_x
_atom_site_fract_y
_atom_site_fract_z
Cu1 Cu 0.5999 0.5999 0.8003
Cu2 Cu 0.4001 0.4001 0.1997
Ti1 Ti 0.0000 0.0000 0.0000
Co1 Co 0.7500 0.2500 0.5000
Co2 Co 0.2500 0.7500 0.5000

***

Record 12
# Ti2Co2Cu | the Alexandria database | PBE-GGA | optimized geometry
# distance to the lowest polymorph of the same formula = 0.1865 eV per atom
# symmetry = P4/mbm, No. 127
# ΔH_f (0 K) = -0.060 eV per atom
# magnetization = 0.00 μB/f.u.
# calculated total energy = -0.253 hartree per atom
data_Ti2Co2Cu
_chemical_formula_sum 'Ti4 Co4 Cu2'
_symmetry_space_group_name_H-M 'P 1'
_symmetry_Int_Tables_number 1
_cell_length_a 7.0218
_cell_length_b 7.0218
_cell_length_c 2.7670
_cell_angle_alpha 90.00
_cell_angle_beta 90.00
_cell_angle_gamma 90.00
loop_
_symmetry_equiv_pos_as_xyz
'x,y,z'
loop_
_atom_site_label
_atom_site_type_symbol
_atom_site_fract_x
_atom_site_fract_y
_atom_site_fract_z
Co1 Co 0.3566 0.1434 0.5000
Co2 Co 0.6434 0.8566 0.5000
Co3 Co 0.8566 0.3566 0.5000
Co4 Co 0.1434 0.6434 0.5000
Ti1 Ti 0.3485 0.8485 0.0000
Ti2 Ti 0.6515 0.1515 0.0000
Ti3 Ti 0.1515 0.3485 0.0000
Ti4 Ti 0.8485 0.6515 0.0000
Cu1 Cu 0.0000 0.0000 0.0000
Cu2 Cu 0.5000 0.5000 0.0000